# AcPm2YS6, relaxed, DFT GGA-PBE
# Formation energy from raw total energies in meV per atom: -2054
data_AcPm2YS6
_chemical_formula_sum 'Ac1 Pm2 Y1 S6'
_space_group_name_H-M_alt 'P 1'
_space_group_IT_number 1
_cell_length_a 7.197
_cell_length_b 7.197
_cell_length_c 7.559
_cell_angle_alpha 61.57
_cell_angle_beta 61.57
_cell_angle_gamma 60.00
loop_
_space_group_symop_operation_xyz
'x,y,z'
loop_
_atom_site_label
_atom_site_fract_x
_atom_site_fract_y
_atom_site_fract_z
S1 0.925 0.608 0.247
S2 0.608 0.219 0.247
Y1 0.317 0.317 0.050
S3 0.146 0.389 0.751
Pm1 0.522 0.522 0.434
S4 0.219 0.925 0.247
S5 0.715 0.146 0.751
Ac1 0.806 0.806 0.583
S6 0.389 0.715 0.751
Pm2 0.015 0.015 0.954

=====

# Ac2PmYS4, relaxed, DFT GGA-PBE
# Formation energy from raw total energies in meV per atom: -1998
data_Ac2PmYS4
_chemical_formula_sum 'Ac2 Pm1 Y1 S4'
_space_group_name_H-M_alt 'P 1'
_space_group_IT_number 1
_cell_length_a 4.064
_cell_length_b 7.090
_cell_length_c 7.350
_cell_angle_alpha 108.56
_cell_angle_beta 90.00
_cell_angle_gamma 90.00
loop_
_space_group_symop_operation_xyz
'x,y,z'
loop_
_atom_site_label
_atom_site_fract_x
_atom_site_fract_y
_atom_site_fract_z
Ac1 0.500 0.000 0.500
S1 0.000 0.747 0.227
S2 0.500 0.235 0.223
Y1 0.000 0.000 0.000
Ac2 0.000 0.500 0.500
S3 0.000 0.253 0.773
S4 0.500 0.765 0.777
Pm1 0.500 0.500 0.000

=====

# Ac3PmY2S6, relaxed, DFT GGA-PBE
# Formation energy from raw total energies in meV per atom: -1999
data_Ac3PmY2S6
_chemical_formula_sum 'Ac3 Pm1 Y2 S6'
_space_group_name_H-M_alt 'P 1'
_space_group_IT_number 1
_cell_length_a 7.060
_cell_length_b 7.060
_cell_length_c 7.322
_cell_angle_alpha 99.27
_cell_angle_beta 99.27
_cell_angle_gamma 120.12
loop_
_space_group_symop_operation_xyz
'x,y,z'
loop_
_atom_site_label
_atom_site_fract_x
_atom_site_fract_y
_atom_site_fract_z
S1 0.074 0.414 0.224
S2 0.414 0.074 0.224
S3 0.734 0.734 0.222
Ac1 0.164 0.836 0.500
Ac2 0.500 0.500 0.500
Y1 0.333 0.667 0.000
Pm1 0.000 0.000 0.000
Y2 0.667 0.333 0.000
S4 0.926 0.586 0.776
S5 0.586 0.926 0.776
S6 0.266 0.266 0.778
Ac3 0.836 0.164 0.500

=====

Magnetization / μB/f.u.: 0.00 0.00 0.00